Compound: BaLi2HgP
Source: the Alexandria database
Functional: GGA-PBE
Structure: optimized geometry

Summary:
total magnetization = 0.000 μB per atom
space-group type = P4/mmm
formation enthalpy at 0 K = -0.48 eV/atom

```
BaLi2HgP
1.0
-4.078 -1.520 2.264
2.419 -3.897 1.741
1.627 3.313 5.155
P Ba Li Hg
1 1 2 1
direct
0.000 0.000 0.000
0.000 0.000 0.500
0.000 0.500 0.000
0.500 0.000 0.000
0.500 0.500 0.500
```